(1)
Compound: LiMgIr2
Source: Alexandria
Functional: GGA-PBE
Structure: relaxed

Properties
DFT total energy: -21.33 eV per cell
Energy of formation from the pure elements: -0.02 eV per atom

CIF file:
```
data_LiMgIr2
_chemical_formula_sum 'Li1 Mg1 Ir2'
_space_group_name_H-M_alt 'P 4/m m m'
_space_group_IT_number 123
_space_group_name_Hall '-P 4 2'
_cell_length_a 3.0269
_cell_length_b 3.0269
_cell_length_c 6.0492
_cell_angle_alpha 90.00
_cell_angle_beta 90.00
_cell_angle_gamma 90.00
loop_
_atom_site_label
_atom_site_type_symbol
_atom_site_fract_x
_atom_site_fract_y
_atom_site_fract_z
Li1 Li 0.0000 0.0000 0.0000
Mg1 Mg 0.0000 0.0000 0.5000
Ir1 Ir 0.5000 0.5000 0.2216
```

***

(2)
Compound: PaGaMoRu
Source: Alexandria
Functional: GGA-PBE
Structure: relaxed

Properties
DFT total energy: -133.91 eV per cell
Energy of formation from the pure elements: -0.21 eV per atom

CIF file:
```
data_PaGaMoRu
_chemical_formula_sum 'Pa4 Ga4 Mo4 Ru4'
_space_group_name_H-M_alt 'F -4 3 m'
_space_group_IT_number 216
_space_group_name_Hall 'F -4 2 3'
_cell_length_a 6.5484
_cell_length_b 6.5484
_cell_length_c 6.5484
_cell_angle_alpha 90.00
_cell_angle_beta 90.00
_cell_angle_gamma 90.00
loop_
_atom_site_label
_atom_site_type_symbol
_atom_site_fract_x
_atom_site_fract_y
_atom_site_fract_z
Pa1 Pa 0.0000 0.0000 0.0000
Ga1 Ga 0.0000 0.0000 0.5000
Mo1 Mo 0.2500 0.2500 0.7500
Ru1 Ru 0.2500 0.2500 0.2500
```